Entry 1:
Here is Cs3Mg2TlBr8 after structural relaxation from Alexandria via LeMat-Bulk. Energies are from PBE.

It has space group P-3m1 (No. 164), with a = 8.2345 Å, b = 8.2345 Å, c = 10.3492 Å, α = 90.00°, β = 90.00° and γ = 120.00°. The distinct sites, in fractional coordinates, are Cs at (0.0000, 0.0000, 0.0000), Cs at (0.3333, 0.6667, 0.6259), Mg at (0.3333, 0.6667, 0.1976), Tl at (0.0000, 0.0000, 0.5000), Br at (0.1725, 0.3449, 0.3008) and Br at (0.3333, 0.6667, 0.9616).

The value obtained for the total energy is -42.82 eV per cell. As for the density of states at the Fermi level: 0.0 states/eV/f.u. For the size of the total moment, the calculation gives 0.00 Bohr magnetons per cell. For the formation energy without anion corrections, the calculation gives -1.5232 eV/atom.


Entry 2:
Here is Ag3W5 after structural relaxation from Alexandria via LeMat-Bulk. Energies are from PBE.

It has space group P6_3/mcm (No. 193), with a = 8.0756 Å, b = 8.0756 Å, c = 4.8785 Å, α = 90.00°, β = 90.00° and γ = 120.00°. The distinct sites, in fractional coordinates, are Ag at (0.0000, 0.4066, 0.2500), W at (0.0000, 0.1918, 0.7500) and W at (0.3333, 0.6667, 0.0000).

The excess energy over the best structure of this formula in the dataset comes out at 31 meV per atom. The value obtained for the total energy is -132.69 eV per cell. As for the density of states at the Fermi level: 4.8 states/eV/f.u. For the size of the total moment, the calculation gives 0.00 Bohr magnetons per cell. For the formation energy, the calculation gives 0.87 eV per atom.


Entry 3:
Here is TbTh6Sc4 after structural relaxation from Alexandria via LeMat-Bulk. Energies are from PBE.

It has space group I-42m (No. 121), with a = 6.959 Å, b = 6.959 Å, c = 13.894 Å, α = 90.00°, β = 90.00° and γ = 90.00°. The distinct sites, in fractional coordinates, are Tb at (0.000, 0.000, 0.000), Th at (0.000, 0.500, 0.000), Th at (0.212, 0.212, 0.185) and Sc at (0.161, 0.161, 0.407).

The value obtained for the total energy is -140.06 eV per cell. As for the density of states at the Fermi level: 15.2 states/eV/f.u. For the size of the total moment, the calculation gives 0.00 Bohr magnetons per cell. For the formation energy, the calculation gives 0.40 eV per atom.


Entry 4:
Here is BaNa2LiZn after structural relaxation from Alexandria via LeMat-Bulk. Energies are from PBE.

It has space group P4/mmm (No. 123), with a = 5.592 Å, b = 5.592 Å, c = 5.274 Å, α = 90.00°, β = 90.00° and γ = 90.00°. The distinct sites, in fractional coordinates, are Ba at (0.000, 0.000, 0.000), Na at (0.000, 0.500, 0.500), Li at (0.500, 0.500, 0.500) and Zn at (0.500, 0.500, 0.000).

The excess energy over the best structure of this formula in the dataset comes out at 0 meV per atom. The value obtained for the total energy is -7.31 eV per cell. As for the density of states at the Fermi level: 3.5 states/eV/f.u. For the size of the total moment, the calculation gives 0.00 Bohr magnetons per cell. For the formation energy, the calculation gives 0.09 eV per atom.


Entry 5:
Here is RbBSe2 after structural relaxation from Alexandria via LeMat-Bulk. Energies are from PBE.

It has space group C2/m (No. 12), with a = 17.436 Å, b = 3.540 Å, c = 7.161 Å, α = 90.00°, β = 114.21° and γ = 90.00°. The distinct sites, in fractional coordinates, are Rb at (0.141, 0.000, 0.141), B at (0.086, 0.500, 0.586), Se at (0.000, 0.500, 0.284) and Se at (0.166, 0.000, 0.666).

The value obtained for the total energy is -66.16 eV per cell. For the size of the total moment, the calculation gives 0.00 Bohr magnetons per cell. For the formation energy without anion corrections, the calculation gives -0.4812 eV/atom.


Entry 6:
Here is Mn2PRh after structural relaxation from Alexandria via LeMat-Bulk. Energies are from PBE.

It has space group I-42d (No. 122), with a = 5.232 Å, b = 5.232 Å, c = 9.913 Å, α = 90.00°, β = 90.00° and γ = 90.00°. The distinct sites, in fractional coordinates, are Mn at (0.235, 0.250, 0.125), P at (0.000, 0.000, 0.000) and Rh at (0.000, 0.000, 0.500).

The value obtained for the total energy is -114.73 eV per cell. As for the density of states at the Fermi level: 3.0 states/eV/f.u. For the size of the total moment, the calculation gives 0.00 Bohr magnetons per cell. For the formation energy, the calculation gives 0.60 eV per atom.